No. 1
## Ho2CuO (PBE)

Data for crystalline Ho2CuO at its relaxed geometry.

a = 3.3669 Å, b = 3.3669 Å, c = 24.7793 Å
α = 90.00°, β = 90.00°, γ = 120.00°
Space group R-3m (No. 166, hexagonal axes)
Unique sites:
Ho: 0.0000 0.0000 0.1113 [6 per cell]
Cu: 0.0000 0.0000 0.0000 [3 per cell]
O: 0.0000 0.0000 0.5000 [3 per cell]

Values from the calculation:
The formation energy (no corrections) is -3.7 eV per formula unit. As for the final energy: -5.47 eV per atom.

***

No. 2
## TaMnNbP2 (PBE)

Data for crystalline TaMnNbP2 at its relaxed geometry.

a = 4.285 Å, b = 4.285 Å, c = 4.673 Å
α = 90.00°, β = 90.00°, γ = 90.00°
Space group P4/mmm (No. 123)
Unique sites:
Ta: 0.000 0.000 0.000 [1 per cell]
Mn: 0.000 0.000 0.500 [1 per cell]
Nb: 0.500 0.500 0.000 [1 per cell]
P: 0.000 0.500 0.500 [2 per cell]

Values from the calculation:
As for the final energy: -7.70 eV per atom. The energy of formation comes out at 65.4 kJ/mol of atoms.

***

No. 3
## Mg5Zn2Hg (PBE)

Data for crystalline Mg5Zn2Hg at its relaxed geometry.

a = 7.114 Å, b = 7.114 Å, c = 12.996 Å
α = 90.00°, β = 90.00°, γ = 90.00°
Space group I4/mcm (No. 140)
Unique sites:
Mg: 0.000 0.000 0.000 [4 per cell]
Mg: 0.166 0.334 0.148 [16 per cell]
Zn: 0.127 0.373 0.500 [8 per cell]
Hg: 0.000 0.000 0.250 [4 per cell]

Values from the calculation:
As for the final energy: -1.47 eV per atom. The energy of formation comes out at -11.3 kJ/mol of atoms.

***

No. 4
## Nb7Mo3 (PBE)

Data for crystalline Nb7Mo3 at its relaxed geometry.

a = 8.7193 Å, b = 8.7193 Å, c = 5.5948 Å
α = 90.00°, β = 90.00°, γ = 120.00°
Space group P6_3/mmc (No. 194)
Unique sites:
Nb: 0.0000 0.5000 0.0000 [6 per cell]
Nb: 0.1194 0.2388 0.2500 [6 per cell]
Nb: 0.3333 0.6667 0.2500 [2 per cell]
Mo: 0.2201 0.4403 0.7500 [6 per cell]

Values from the calculation:
As for the final energy: -10.08 eV per atom. The energy of formation comes out at 20.7 kJ/mol of atoms.

***

No. 5
## DySc2 (PBE)

Data for crystalline DySc2 at its relaxed geometry.

a = 8.854 Å, b = 8.854 Å, c = 8.854 Å
α = 90.00°, β = 90.00°, γ = 90.00°
Space group Fd-3m (No. 227, origin choice 2)
Unique sites:
Dy: 0.125 0.125 0.125 [8 per cell]
Sc: 0.000 0.000 0.500 [16 per cell]

Values from the calculation:
The offset from the most stable computed form comes out at 0.202 eV per atom. As for the final energy: -5.53 eV per atom. The energy of formation comes out at 21.8 kJ/mol of atoms.

***

Question: What is the final energy in the first record?
Answer: -5.47 eV per atom